VASP calculation (PBE-GGA) on a relaxed KCoSeBr2 crystal.

Geometry as CIF:
```
data_KCoSeBr2
_chemical_formula_sum 'K1 Co1 Se1 Br2'
_cell_length_a 5.514
_cell_length_b 5.514
_cell_length_c 6.491
_cell_angle_alpha 90.00
_cell_angle_beta 90.00
_cell_angle_gamma 90.00
_symmetry_space_group_name_H-M 'P 4/m m m'
_symmetry_Int_Tables_number 123
_symmetry_space_group_name_Hall '-P 4 2'
loop_
_atom_site_label
_atom_site_fract_x
_atom_site_fract_y
_atom_site_fract_z
K1 0.000 0.000 0.000
Co1 0.500 0.500 0.000
Se1 0.000 0.000 0.500
Br1 0.000 0.500 0.500
```

Values from the calculation:
volume	39.48	A^3/atom
energy relative to the lowest polymorph listed for this composition	1045	meV/atom
DOS(E_F)	1.539	states/eV/atom
uncorrected formation energy	482	meV/atom
crystal system	tetragonal